Arrangement A

A plane-wave DFT calculation with GGA-PBE was carried out for a geometry-optimized CsGaCl2 structure.

Structure (CIF):
```
data_CsGaCl2
_cell_length_a 8.450
_cell_length_b 10.210
_cell_length_c 7.712
_cell_angle_alpha 90.00
_cell_angle_beta 108.84
_cell_angle_gamma 90.00
_symmetry_space_group_name_H-M 'P 1 21/c 1'
_symmetry_Int_Tables_number 14
loop_
_symmetry_equiv_pos_as_xyz
'x,y,z'
'-x,-y,-z'
'-x,y+1/2,-z+1/2'
'x,-y+1/2,z+1/2'
loop_
_atom_site_label
_atom_site_fract_x
_atom_site_fract_y
_atom_site_fract_z
Cs1 0.250 0.111 0.000
Ga1 0.250 0.653 0.002
Cl1 0.051 0.675 0.287
Cl2 0.450 0.674 0.714
```

Magnetic moment: 0.00 μB/f.u.
ρ: 2.9 g cm⁻³
Crystal system: monoclinic

---

Arrangement B

A plane-wave DFT calculation with GGA-PBE was carried out for a geometry-optimized CsGaCl2 structure.

Structure (CIF):
```
data_CsGaCl2
_cell_length_a 4.5699
_cell_length_b 4.5699
_cell_length_c 23.4647
_cell_angle_alpha 90.00
_cell_angle_beta 90.00
_cell_angle_gamma 120.00
_symmetry_space_group_name_H-M 'R 3 m'
_symmetry_Int_Tables_number 160
_symmetry_space_group_name_Hall 'R 3 -2"'
loop_
_atom_site_label
_atom_site_fract_x
_atom_site_fract_y
_atom_site_fract_z
Cs1 0.0000 0.0000 0.0000
Ga1 0.0000 0.0000 0.1685
Cl1 0.0000 0.0000 0.5720
Cl2 0.0000 0.0000 0.7631
```

Magnetic moment: 0.00 μB/f.u.
ρ: 3.2 g cm⁻³
Crystal system: trigonal

---

Result of the stability comparison: arrangement A is the most stable of them.

---

Arrangement A

A plane-wave DFT calculation with GGA-PBE was carried out for a geometry-optimized CsGaCl2 structure.

Structure (CIF):
```
data_CsGaCl2
_cell_length_a 7.931
_cell_length_b 7.931
_cell_length_c 7.931
_cell_angle_alpha 90.00
_cell_angle_beta 90.00
_cell_angle_gamma 90.00
_symmetry_space_group_name_H-M 'F m -3 m'
_symmetry_Int_Tables_number 225
_symmetry_space_group_name_Hall '-F 4 2 3'
loop_
_atom_site_label
_atom_site_fract_x
_atom_site_fract_y
_atom_site_fract_z
Cs1 0.000 0.000 0.000
Ga1 0.000 0.000 0.500
Cl1 0.250 0.250 0.250
```

Magnetic moment: 0.00 μB/f.u.
ρ: 3.6 g cm⁻³
Crystal system: cubic

---

Arrangement B

A plane-wave DFT calculation with GGA-PBE was carried out for a geometry-optimized CsGaCl2 structure.

Structure (CIF):
```
data_CsGaCl2
_cell_length_a 3.935
_cell_length_b 3.935
_cell_length_c 7.919
_cell_angle_alpha 90.00
_cell_angle_beta 90.00
_cell_angle_gamma 90.00
_symmetry_space_group_name_H-M 'P 4/m m m'
_symmetry_Int_Tables_number 123
_symmetry_space_group_name_Hall '-P 4 2'
loop_
_atom_site_label
_atom_site_fract_x
_atom_site_fract_y
_atom_site_fract_z
Cs1 0.000 0.000 0.000
Ga1 0.000 0.000 0.500
Cl1 0.500 0.500 0.275
```

Magnetic moment: 0.00 μB/f.u.
ρ: 3.7 g cm⁻³
Crystal system: tetragonal

---

Result of the stability comparison: arrangement B is the most stable of them.

---

Arrangement A

A plane-wave DFT calculation with GGA-PBE was carried out for a geometry-optimized CsGaCl2 structure.

Structure (CIF):
```
data_CsGaCl2
_cell_length_a 7.137
_cell_length_b 7.137
_cell_length_c 14.836
_cell_angle_alpha 90.00
_cell_angle_beta 90.00
_cell_angle_gamma 90.00
_symmetry_space_group_name_H-M 'I -4 2 d'
_symmetry_Int_Tables_number 122
_symmetry_space_group_name_Hall 'I -4 2bw'
loop_
_atom_site_label
_atom_site_fract_x
_atom_site_fract_y
_atom_site_fract_z
Cs1 0.000 0.000 0.000
Ga1 0.000 0.000 0.500
Cl1 0.190 0.250 0.625
```

Magnetic moment: 0.00 μB/f.u.
ρ: 2.4 g cm⁻³
Crystal system: tetragonal

---

Arrangement B

A plane-wave DFT calculation with GGA-PBE was carried out for a geometry-optimized CsGaCl2 structure.

Structure (CIF):
```
data_CsGaCl2
_cell_length_a 4.7515
_cell_length_b 4.7515
_cell_length_c 27.8221
_cell_angle_alpha 90.00
_cell_angle_beta 90.00
_cell_angle_gamma 120.00
_symmetry_space_group_name_H-M 'R -3 m'
_symmetry_Int_Tables_number 166
_symmetry_space_group_name_Hall '-R 3 2"'
loop_
_atom_site_label
_atom_site_fract_x
_atom_site_fract_y
_atom_site_fract_z
Cs1 0.0000 0.0000 0.0000
Ga1 0.0000 0.0000 0.5000
Cl1 0.0000 0.0000 0.1117
```

Magnetic moment: 0.00 μB/f.u.
ρ: 2.5 g cm⁻³
Crystal system: trigonal

---

Result of the stability comparison: arrangement A is the most stable of them.

---

Arrangement A

A plane-wave DFT calculation with GGA-PBE was carried out for a geometry-optimized Cs2HfGaCl6 structure.

Structure (CIF):
```
data_Cs2HfGaCl6
_cell_length_a 10.966
_cell_length_b 10.966
_cell_length_c 10.966
_cell_angle_alpha 90.00
_cell_angle_beta 90.00
_cell_angle_gamma 90.00
_symmetry_space_group_name_H-M 'F m -3 m'
_symmetry_Int_Tables_number 225
_symmetry_space_group_name_Hall '-F 4 2 3'
loop_
_atom_site_label
_atom_site_fract_x
_atom_site_fract_y
_atom_site_fract_z
Cs1 0.250 0.250 0.250
Hf1 0.000 0.000 0.000
Ga1 0.000 0.000 0.500
Cl1 0.000 0.000 0.230
```

Magnetic moment: 1.00 μB/f.u.
ρ: 3.7 g cm⁻³
Crystal system: cubic

---

Arrangement B

A plane-wave DFT calculation with GGA-PBE was carried out for a geometry-optimized Cs2HfGaCl6 structure.

Structure (CIF):
```
data_Cs2HfGaCl6
_cell_length_a 8.0014
_cell_length_b 8.0014
_cell_length_c 37.8174
_cell_angle_alpha 90.00
_cell_angle_beta 90.00
_cell_angle_gamma 120.00
_symmetry_space_group_name_H-M 'R -3 m'
_symmetry_Int_Tables_number 166
_symmetry_space_group_name_Hall '-R 3 2"'
loop_
_atom_site_label
_atom_site_fract_x
_atom_site_fract_y
_atom_site_fract_z
Cs1 0.0000 0.0000 0.1277
Cs2 0.0000 0.0000 0.2842
Hf1 0.0000 0.0000 0.0000
Hf2 0.0000 0.0000 0.5000
Ga1 0.0000 0.0000 0.4234
Cl1 0.0031 0.5015 0.1337
Cl2 0.0438 0.5219 0.7044
```

Magnetic moment: 0.06 μB/f.u.
ρ: 3.5 g cm⁻³
Crystal system: trigonal

---

Result of the stability comparison: arrangement B is the most stable of them.

---

Arrangement A

A plane-wave DFT calculation with GGA-PBE was carried out for a geometry-optimized CsGaP2Cl structure.

Structure (CIF):
```
data_CsGaP2Cl
_cell_length_a 5.976
_cell_length_b 5.976
_cell_length_c 6.282
_cell_angle_alpha 90.00
_cell_angle_beta 90.00
_cell_angle_gamma 90.00
_symmetry_space_group_name_H-M 'P 4/m m m'
_symmetry_Int_Tables_number 123
_symmetry_space_group_name_Hall '-P 4 2'
loop_
_atom_site_label
_atom_site_fract_x
_atom_site_fract_y
_atom_site_fract_z
Cs1 0.000 0.000 0.000
Ga1 0.500 0.500 0.500
P1 0.000 0.500 0.000
Cl1 0.000 0.000 0.500
```

Magnetic moment: 2.96 μB/f.u.
ρ: 2.2 g cm⁻³
Crystal system: tetragonal

---

Arrangement B

A plane-wave DFT calculation with GGA-PBE was carried out for a geometry-optimized CsGaP2Cl structure.

Structure (CIF):
```
data_CsGaP2Cl
_cell_length_a 4.783
_cell_length_b 4.783
_cell_length_c 6.431
_cell_angle_alpha 90.00
_cell_angle_beta 90.00
_cell_angle_gamma 90.00
_symmetry_space_group_name_H-M 'P 4/m m m'
_symmetry_Int_Tables_number 123
_symmetry_space_group_name_Hall '-P 4 2'
loop_
_atom_site_label
_atom_site_fract_x
_atom_site_fract_y
_atom_site_fract_z
Cs1 0.000 0.000 0.000
Ga1 0.500 0.500 0.500
P1 0.000 0.500 0.500
Cl1 0.500 0.500 0.000
```

Magnetic moment: 1.03 μB/f.u.
ρ: 3.4 g cm⁻³
Crystal system: tetragonal

---

Result of the stability comparison: arrangement B is the most stable of them.

---

Arrangement A

A plane-wave DFT calculation with GGA-PBE was carried out for a geometry-optimized Cs3GeCl6 structure.

Structure (CIF):
```
data_Cs3GeCl6
_cell_length_a 13.636
_cell_length_b 16.679
_cell_length_c 8.438
_cell_angle_alpha 90.00
_cell_angle_beta 90.00
_cell_angle_gamma 90.00
_symmetry_space_group_name_H-M 'C m c 21'
_symmetry_Int_Tables_number 36
loop_
_symmetry_equiv_pos_as_xyz
'x,y,z'
'-x,-y,z+1/2'
'-x,y,z'
'x,-y,z+1/2'
'x+1/2,y+1/2,z'
'-x+1/2,-y+1/2,z+1/2'
'-x+1/2,y+1/2,z'
'x+1/2,-y+1/2,z+1/2'
loop_
_atom_site_label
_atom_site_fract_x
_atom_site_fract_y
_atom_site_fract_z
Cs1 0.000 0.082 0.000
Cs2 0.200 0.401 0.047
Ge1 0.000 0.316 0.607
Cl1 0.000 0.313 0.325
Cl2 0.000 0.445 0.714
Cl3 0.134 0.253 0.723
Cl4 0.166 0.018 0.271
```

Magnetic moment: 1.06 μB/f.u.
ρ: 2.4 g cm⁻³
Crystal system: orthorhombic

---

Arrangement B

A plane-wave DFT calculation with GGA-PBE was carried out for a geometry-optimized Cs3GeCl6 structure.

Structure (CIF):
```
data_Cs3GeCl6
_cell_length_a 12.8106
_cell_length_b 12.8106
_cell_length_c 16.6073
_cell_angle_alpha 90.00
_cell_angle_beta 90.00
_cell_angle_gamma 120.00
_symmetry_space_group_name_H-M 'R -3 c'
_symmetry_Int_Tables_number 167
_symmetry_space_group_name_Hall '-R 3 2"c'
loop_
_atom_site_label
_atom_site_fract_x
_atom_site_fract_y
_atom_site_fract_z
Cs1 0.0000 0.3512 0.2500
Ge1 0.0000 0.0000 0.0000
Cl1 0.0131 0.1669 0.4125
```

Magnetic moment: 0.65 μB/f.u.
ρ: 2.9 g cm⁻³
Crystal system: trigonal

---

Result of the stability comparison: arrangement B is the most stable of them.